Entry from OQMD via LeMat-Bulk: a relaxed structure of Er2Ga (GGA-PBE).

Properties
**Uncorrected energy**: -4.31 eV/atom
**V**: 28.0 Å³ per atom
**Total moment**: 0.00 μB per formula unit

Cell: 4.916 4.916 4.916 Å, 60.00 60.00 60.00°
Sites, in units of the cell vectors:
Er1 0.750 0.750 0.750
Er2 0.250 0.250 0.250
Ga1 0.000 0.000 0.000